Density functional theory data (GGA-PBE) for a relaxed structure of TbPrAl6.

Output
As for the space group: P-6m2, No. 187. The electronic total energy is -4.420 eV per atom.

extended XYZ file:
```
8
Lattice="6.451 0.000 0.000 -3.226 5.587 0.000 0.000 0.000 4.590" Properties=species:S:1:pos:R:3 pbc="T T T"
Tb 0.000 0.000 0.000
Pr 3.226 1.862 2.295
Al -1.372 2.933 0.000
Al 0.000 2.105 2.295
Al -1.403 4.535 2.295
Al 1.372 2.933 0.000
Al 0.000 5.308 0.000
Al 1.403 4.535 2.295
```

---

Density functional theory data (GGA-PBE) for a relaxed structure of TbPrAlTe3.

Output
As for the space group: Cmcm, No. 63. The electronic total energy is -4.720 eV per atom.

extended XYZ file:
```
12
Lattice="2.106 -7.797 0.000 2.106 7.797 0.000 0.000 0.000 10.531" Properties=species:S:1:pos:R:3 pbc="T T T"
Tb 0.000 0.000 0.000
Tb 0.000 0.000 5.266
Pr 2.106 4.355 7.898
Pr 2.106 -4.355 2.633
Al 2.106 0.367 2.633
Al 2.106 -0.367 7.898
Te 2.106 5.957 2.633
Te 2.106 2.319 0.461
Te 2.106 2.319 4.804
Te 2.106 -2.319 5.727
Te 2.106 -2.319 10.070
Te 2.106 -5.957 7.898
```